(1)
Here is a relaxed structure of CoNiTeI2 from Alexandria. Energies are from PBE-GGA.

Results
Raw total energy, eV/cell: -14.9
E_form (uncorrected), meV/atom: 855.1
Energy above the most stable polymorph in this dataset, kJ per mole of atoms: 1.96
ρ, g/cm3: 5.96

Cell and atoms, written as POSCAR:
```
CoNiTeI2
1.0
5.2252 0.0000 0.0000
0.0000 5.2252 0.0000
0.0000 0.0000 5.0928
Co Ni Te I
1 1 1 2
direct
0.0000 0.0000 0.0000
0.5000 0.5000 0.5000
0.5000 0.5000 0.0000
0.0000 0.5000 0.5000
0.5000 0.0000 0.5000
```


(2)
Here is a relaxed structure of TcAs2WI from Alexandria. Energies are from PBE-GGA.

Results
Raw total energy, eV/cell: -29.2
E_form (uncorrected), meV/atom: 993.0
Energy above the most stable polymorph in this dataset, kJ per mole of atoms: 0.00
ρ, g/cm3: 7.36

Cell and atoms, written as POSCAR:
```
TcAs2WI
1.0
4.8100 0.0000 0.0000
0.0000 4.8100 0.0000
0.0000 0.0000 5.4494
Tc As W I
1 2 1 1
direct
0.0000 0.0000 0.0000
0.0000 0.5000 0.5000
0.5000 0.0000 0.5000
0.0000 0.0000 0.5000
0.5000 0.5000 0.0000
```